1.
{"formula": "MgTl2Se", "functional": "meta-GGA SCAN", "state": "PBEsol geometry", "raw_formation_energy_kj_per_mol_fu": -144, "lattice": [[-3.610, -1.568, -0.057], [0.197, -0.623, 4.717], [-2.367, 5.506, -1.600]], "species": ["Mg", "Se", "Tl", "Tl"], "fractional_positions": [[0.000, 0.183, 0.483], [0.500, 0.325, 0.783], [0.000, 0.899, 0.925], [0.500, 0.593, 0.310]]}


2.
{"formula": "Mg2TlSe", "functional": "meta-GGA SCAN", "state": "PBEsol geometry", "raw_formation_energy_kj_per_mol_fu": -187, "lattice": [[6.321, -0.023, 0.000], [-2.878, 5.628, 0.000], [-1.722, -2.803, 5.398]], "species": ["Tl", "Tl", "Mg", "Mg", "Mg", "Mg", "Se", "Se"], "fractional_positions": [[0.000, 0.000, 0.000], [0.250, 0.750, 0.500], [0.837, 0.875, 0.462], [0.413, 0.375, 0.538], [0.125, 0.587, 0.962], [0.625, 0.163, 0.038], [0.500, 0.500, 0.000], [0.750, 0.250, 0.500]]}


3.
{"formula": "MgTlSe", "functional": "meta-GGA SCAN", "state": "PBEsol geometry", "raw_formation_energy_kj_per_mol_fu": -60, "lattice": [[4.938, 0.000, 0.000], [2.469, 4.276, 0.000], [2.469, 1.425, 4.032]], "species": ["Mg", "Se", "Tl"], "fractional_positions": [[0.500, 0.500, 0.500], [0.250, 0.250, 0.250], [0.000, 0.000, 0.000]]}


4.
{"formula": "Mg2TlSe2", "functional": "meta-GGA SCAN", "state": "PBEsol geometry", "raw_formation_energy_kj_per_mol_fu": -388, "lattice": [[4.457, 0.000, 0.000], [0.000, 4.457, 0.000], [-2.228, -2.228, 6.434]], "species": ["Tl", "Mg", "Mg", "Se", "Se"], "fractional_positions": [[0.000, 0.000, 0.000], [0.250, 0.750, 0.500], [0.750, 0.250, 0.500], [0.360, 0.360, 0.720], [0.640, 0.640, 0.280]]}


5.
{"formula": "MgTl2Se", "functional": "meta-GGA SCAN", "state": "PBEsol geometry", "raw_formation_energy_kj_per_mol_fu": -127, "lattice": [[4.242, -0.011, 0.000], [-0.103, 4.229, 0.000], [-2.069, -2.109, 5.654]], "species": ["Mg", "Se", "Tl", "Tl"], "fractional_positions": [[0.000, 0.500, 0.000], [0.500, 0.000, 0.000], [0.500, 0.500, 0.500], [0.000, 0.000, 0.500]]}


6.
{"formula": "MgTlSe2", "functional": "meta-GGA SCAN", "state": "PBEsol geometry", "raw_formation_energy_kj_per_mol_fu": -203, "lattice": [[4.068, 0.000, 0.000], [2.034, 4.998, 0.104], [2.034, 0.942, 4.910]], "species": ["Mg", "Se", "Se", "Tl"], "fractional_positions": [[0.000, 0.500, 0.500], [0.289, 0.711, 0.711], [0.711, 0.289, 0.289], [0.500, 0.000, 0.000]]}


7.
{"formula": "MgTlSe2", "functional": "meta-GGA SCAN", "state": "PBEsol geometry", "raw_formation_energy_kj_per_mol_fu": -249, "lattice": [[3.708, 0.000, 0.000], [0.000, 3.904, 0.134], [-1.854, -0.240, 6.904]], "species": ["Mg", "Se", "Se", "Tl"], "fractional_positions": [[0.709, 0.125, 0.418], [0.054, 0.125, 0.108], [0.267, 0.626, 0.533], [0.471, 0.624, 0.941]]}


8.
{"formula": "Mg2TlSe", "functional": "meta-GGA SCAN", "state": "PBEsol geometry", "raw_formation_energy_kj_per_mol_fu": -95, "lattice": [[-4.372, 0.544, -1.319], [1.019, -1.785, -4.113], [0.756, -3.255, 4.170]], "species": ["Mg", "Mg", "Se", "Tl"], "fractional_positions": [[0.750, 0.250, 0.500], [0.250, 0.750, 0.500], [0.000, 0.000, 0.000], [0.500, 0.500, 0.000]]}


9.
{"formula": "MgTl2Se", "functional": "meta-GGA SCAN", "state": "PBEsol geometry", "raw_formation_energy_kj_per_mol_fu": -167, "lattice": [[-2.866, 1.341, 1.894], [0.972, -2.099, 2.956], [5.345, 6.091, 0.184]], "species": ["Mg", "Se", "Tl", "Tl"], "fractional_positions": [[0.000, 0.500, 0.000], [0.500, 0.000, 0.000], [0.318, 0.318, 0.636], [0.682, 0.682, 0.364]]}


10.
{"formula": "Tm2MgSe4", "functional": "meta-GGA SCAN", "state": "PBEsol geometry", "raw_formation_energy_kj_per_mol_fu": -1296, "lattice": [[8.083, 0.000, 0.000], [4.041, 7.000, 0.000], [4.041, 2.333, 6.599]], "species": ["Tm", "Tm", "Tm", "Tm", "Mg", "Mg", "Se", "Se", "Se", "Se", "Se", "Se", "Se", "Se"], "fractional_positions": [[0.625, 0.625, 0.125], [0.125, 0.625, 0.625], [0.625, 0.625, 0.625], [0.625, 0.125, 0.625], [0.250, 0.250, 0.250], [0.000, 0.000, 0.000], [0.870, 0.391, 0.870], [0.380, 0.380, 0.859], [0.380, 0.859, 0.380], [0.391, 0.870, 0.870], [0.870, 0.870, 0.391], [0.380, 0.380, 0.380], [0.859, 0.380, 0.380], [0.870, 0.870, 0.870]]}


11.
{"formula": "Tm2MgSe4", "functional": "meta-GGA SCAN", "state": "PBEsol geometry", "raw_formation_energy_kj_per_mol_fu": -1245, "lattice": [[-0.335, 2.321, 3.140], [-12.067, 2.927, -3.452], [-4.629, -10.505, 7.273]], "species": ["Tm", "Tm", "Tm", "Tm", "Tm", "Tm", "Tm", "Tm", "Mg", "Mg", "Mg", "Mg", "Se", "Se", "Se", "Se", "Se", "Se", "Se", "Se", "Se", "Se", "Se", "Se", "Se", "Se", "Se", "Se"], "fractional_positions": [[0.750, 0.387, 0.424], [0.250, 0.613, 0.576], [0.250, 0.113, 0.924], [0.750, 0.887, 0.076], [0.750, 0.355, 0.798], [0.250, 0.645, 0.202], [0.250, 0.145, 0.298], [0.750, 0.855, 0.702], [0.250, 0.384, 0.055], [0.750, 0.616, 0.945], [0.750, 0.116, 0.555], [0.250, 0.884, 0.445], [0.250, 0.486, 0.883], [0.750, 0.514, 0.117], [0.750, 0.014, 0.383], [0.250, 0.986, 0.617], [0.750, 0.468, 0.619], [0.250, 0.532, 0.381], [0.250, 0.032, 0.119], [0.750, 0.968, 0.881], [0.750, 0.281, 0.246], [0.250, 0.719, 0.754], [0.250, 0.219, 0.746], [0.750, 0.781, 0.254], [0.250, 0.244, 0.486], [0.750, 0.756, 0.514], [0.750, 0.256, 0.986], [0.250, 0.744, 0.014]]}


12.
{"formula": "MgWSe2", "functional": "meta-GGA SCAN", "state": "PBEsol geometry", "raw_formation_energy_kj_per_mol_fu": 40, "lattice": [[3.226, 0.000, 0.000], [0.000, 3.253, 0.000], [0.000, 0.000, 7.228]], "species": ["Mg", "Se", "Se", "W"], "fractional_positions": [[0.500, 0.500, 0.500], [0.000, 0.000, 0.734], [0.000, 0.000, 0.266], [0.500, 0.000, 0.000]]}


In eV per atom, the raw total energy values for the records above are, in order, -42.816; -26.080; -32.676; -25.296; -42.770; -29.898; -30.017; -25.843; -42.874; -28.912; -28.836; -28.601.